Record 1
## Rb2ScVSe (GGA-PBE)

Data for an optimized crystal structure of Rb2ScVSe.

a b c (Å): 6.070 6.070 5.218
angles (deg): 90.00 90.00 90.00
Space group P4/mmm (No. 123)
Inequivalent atoms, fractional coordinates:
Rb (0.000, 0.500, 0.000) [2 per cell]
Sc (0.000, 0.000, 0.500) [1 per cell]
V (0.000, 0.000, 0.000) [1 per cell]
Se (0.500, 0.500, 0.500) [1 per cell]

=====

Record 2
## Rb3Sc3VSe8 (GGA-PBE)

Data for an optimized crystal structure of Rb3Sc3VSe8.

a b c (Å): 7.7939 7.7939 24.4538
angles (deg): 90.00 90.00 120.00
Space group R-3m (No. 166, hexagonal axes)
Inequivalent atoms, fractional coordinates:
Rb (0.0000, 0.5000, 0.0000) [9 per cell]
Sc (0.0000, 0.5000, 0.5000) [9 per cell]
V (0.0000, 0.0000, 0.5000) [3 per cell]
Se (0.0000, 0.0000, 0.2291) [6 per cell]
Se (0.0147, 0.5073, 0.2266) [18 per cell]

=====

Record 3
## RbYSc2Se (GGA-PBE)

Data for an optimized crystal structure of RbYSc2Se.

a b c (Å): 5.048 5.048 5.795
angles (deg): 90.00 90.00 90.00
Space group P4/mmm (No. 123)
Inequivalent atoms, fractional coordinates:
Rb (0.000, 0.000, 0.000) [1 per cell]
Y (0.500, 0.500, 0.500) [1 per cell]
Sc (0.000, 0.500, 0.000) [2 per cell]
Se (0.000, 0.000, 0.500) [1 per cell]

=====

Record 4
## RbYScSe3 (GGA-PBE)

Data for an optimized crystal structure of RbYScSe3.

a b c (Å): 9.268 4.382 10.314
angles (deg): 90.00 109.25 90.00
Space group P2_1/m (No. 11)
Inequivalent atoms, fractional coordinates:
Rb (0.213, 0.250, 0.228) [2 per cell]
Y (0.337, 0.750, 0.867) [2 per cell]
Sc (0.089, 0.250, 0.610) [2 per cell]
Se (0.121, 0.250, 0.867) [2 per cell]
Se (0.208, 0.750, 0.552) [2 per cell]
Se (0.469, 0.750, 0.156) [2 per cell]

=====

Across the entries above, raw formation energy takes the values 0.83; -1.37; 0.98; -1.58 eV/atom, respectively.